(1)
TbHoInAu | PBE | relaxed

## Properties
Volume   100.1 Å³ per cell
Mass density   10542 kg/m3
Raw total energy   -4.475 eV per atom
Spin magnetization   0.00 μB/atom

Unit cell a=3.6081 b=3.6081 c=7.6911 alpha=90.00 beta=90.00 gamma=90.00
Space group P4mm (No. 99)
Inequivalent atoms, fractional coordinates:
Tb  0.0000  0.0000  0.0000
Ho  0.0000  0.0000  0.4621
In  0.5000  0.5000  0.7296
Au  0.5000  0.5000  0.2403



(2)
MgNb2Cr2 | PBE | relaxed

## Properties
Volume   171.4 Å³ per cell
Mass density   6087 kg/m3
Raw total energy   -7.735 eV per atom
Spin magnetization   0.63 μB/atom

Unit cell a=7.5306 b=7.5306 c=3.0220 alpha=90.00 beta=90.00 gamma=90.00
Space group P4/mbm (No. 127)
Inequivalent atoms, fractional coordinates:
Mg  0.0000  0.0000  0.0000
Nb  0.1446  0.3554  0.0000
Cr  0.1478  0.6478  0.5000



(3)
MnNiSn | PBE | relaxed

## Properties
Volume   112.0 Å³ per cell
Mass density   6891 kg/m3
Raw total energy   -5.586 eV per atom
Spin magnetization   1.35 μB/atom

Unit cell a=2.8444 b=2.8444 c=13.8398 alpha=90.00 beta=90.00 gamma=90.00
Space group I4mm (No. 107)
Inequivalent atoms, fractional coordinates:
Mn  0.0000  0.0000  0.0000
Ni  0.0000  0.0000  0.8345
Sn  0.0000  0.0000  0.6482



(4)
TaCl | PBE | relaxed

## Properties
Raw formation energy   0.8101 eV/atom
Volume   33.9 Å³ per cell
Mass density   10591 kg/m3
Spin magnetization   0.00 μB/atom

Unit cell a=2.9238 b=2.9238 c=3.9687 alpha=90.00 beta=90.00 gamma=90.00
Space group P4/mmm (No. 123)
Inequivalent atoms, fractional coordinates:
Ta  0.0000  0.0000  0.0000
Cl  0.5000  0.5000  0.5000



Question: Which value of spin magnetization does entry 1 give?
Answer: 0.00 μB/atom



Question: What is the mass density in the second record?
Answer: 6087 kg/m3